Computed, not measured: an optimized crystal structure of Tb2Al5Pd at the PBE level of DFT.

abc: 6.0284 6.0284 6.0284
angles: 89.70 120.18 120.18
Closest atoms and distances in Å follow each position.
Sites, in units of the cell vectors:
1 Tb 0.5000 0.2778 0.7778  10 Al 3.01, 2 Pd 3.01
2 Tb 0.5000 0.7778 0.2778  10 Al 3.01, 2 Pd 3.01
3 Al 0.4997 0.7776 0.7776  6 Al 3.00-3.02, 2 Pd 3.01-3.02, 4 Tb 3.01
4 Al 0.0000 0.7776 0.2779  6 Al 3.00-3.02, 2 Pd 3.01-3.02, 4 Tb 3.01
5 Al 0.0000 0.2779 0.7776  6 Al 3.00-3.02, 2 Pd 3.01-3.02, 4 Tb 3.01
6 Al 0.5003 0.2779 0.2779  6 Al 3.00-3.02, 2 Pd 3.01-3.02, 4 Tb 3.01
7 Al 0.0000 0.2774 0.2774  4 Tb 3.01, 8 Al 3.01-3.02
8 Pd 0.0000 0.7783 0.7783  4 Tb 3.01, 8 Al 3.01-3.02

## Properties
- Fermi-level density of states: 3.96 states/eV/cell
- SG: I4mm
- E_form: -0.4833 eV/atom

=====

Computed, not measured: an optimized crystal structure of PuThZr2 at the PBE level of DFT.

abc: 4.9039 4.5791 4.5791
angles: 90.00 90.00 90.00
Closest atoms and distances in Å follow each position.
Sites, in units of the cell vectors:
1 Zr 0.0000 0.0000 0.5000  4 Zr 3.24, 4 Pu 3.35, 4 Th 3.35
2 Zr 0.0000 0.5000 0.0000  4 Zr 3.24, 4 Pu 3.35, 4 Th 3.35
3 Th 0.5000 0.0000 0.0000  4 Pu 3.24, 8 Zr 3.35
4 Pu 0.5000 0.5000 0.5000  4 Th 3.24, 8 Zr 3.35

## Properties
- Fermi-level density of states: 8.72 states/eV/cell
- SG: P4/mmm
- E_form: 0.1087 eV/atom

=====

Computed, not measured: an optimized crystal structure of HfTaReNi at the PBE level of DFT.

abc: 4.5177 4.5177 4.5177
angles: 60.00 60.00 60.00
Closest atoms and distances in Å follow each position.
Sites, in units of the cell vectors:
1 Ni 0.2500 0.2500 0.2500  4 Hf 2.77, 4 Ta 2.77
2 Re 0.7500 0.7500 0.7500  4 Ta 2.77, 4 Hf 2.77
3 Hf 0.5000 0.5000 0.5000  4 Re 2.77, 4 Ni 2.77
4 Ta 0.0000 0.0000 0.0000  4 Ni 2.77, 4 Re 2.77

## Properties
- Fermi-level density of states: 3.69 states/eV/cell
- SG: F-43m
- E_form: -0.3180 eV/atom

=====

Computed, not measured: an optimized crystal structure of YNb2TcP at the PBE level of DFT.

abc: 4.7213 4.5122 4.7213
angles: 90.00 90.00 90.00
Closest atoms and distances in Å follow each position.
Sites, in units of the cell vectors:
1 Y 0.5000 0.5000 0.5000  8 Nb 3.27, 4 Tc 3.34
2 P 0.0000 0.0000 0.0000  2 Tc 2.26, 4 Nb 2.36
3 Nb 0.0000 0.0000 0.5000  2 P 2.36
4 Nb 0.5000 0.0000 0.0000  2 P 2.36
5 Tc 0.0000 0.5000 0.0000  2 P 2.26

## Properties
- Fermi-level density of states: 5.22 states/eV/cell
- SG: P4/mmm
- E_form: -0.0017 eV/atom

=====

Computed, not measured: an optimized crystal structure of Pm8Si2N at the PBE level of DFT.

abc: 4.2464 6.9938 11.1006
angles: 110.59 101.03 90.00
Closest atoms and distances in Å follow each position.
Sites, in units of the cell vectors:
1 Pm 0.4193 0.6432 0.8386  1 N 2.48
2 Pm 0.6852 0.9733 0.3705  2 Si 2.92, 2 Pm 3.18
3 Pm 0.7864 0.6674 0.5729  1 Si 2.89, 4 Pm 3.14-3.18
4 Pm 0.9461 0.1152 0.8921  2 N 2.69
5 Pm 0.2136 0.3326 0.4271  1 Si 2.89, 4 Pm 3.14-3.18
6 Pm 0.3148 0.0267 0.6295  2 Si 2.92, 2 Pm 3.18
7 Pm 0.5807 0.3568 0.1614  1 N 2.48
8 Pm 0.0539 0.8848 0.1079  2 N 2.69
9 Si 0.8325 0.3280 0.6650  5 Pm 2.89-3.16
10 Si 0.1675 0.6720 0.3350  5 Pm 2.89-3.16
11 N 0.5000 0.0000 0.0000  6 Pm 2.48-2.69

## Properties
- Fermi-level density of states: 12.04 states/eV/cell
- Formation energy from raw total energies: -313.0 meV per atom
- SG: C2/m

=====

Computed, not measured: an optimized crystal structure of AcNd2Ho9 at the PBE level of DFT.

abc: 5.0729 5.0729 15.2367
angles: 90.00 90.00 90.00
Closest atoms and distances in Å follow each position.
Sites, in units of the cell vectors:
1 Ac 0.0000 0.0000 0.0000  12 Ho 3.59-3.65
2 Nd 0.0000 0.0000 0.3348  12 Ho 3.55-3.59
3 Nd 0.0000 0.0000 0.6652  12 Ho 3.55-3.59
4 Ho 0.5000 0.5000 0.0000  4 Ac 3.59, 8 Ho 3.65
5 Ho 0.5000 0.5000 0.3358  8 Ho 3.56, 4 Nd 3.59
6 Ho 0.5000 0.5000 0.6642  8 Ho 3.56, 4 Nd 3.59
7 Ho 0.5000 0.0000 0.1721  2 Nd 3.55, 8 Ho 3.56-3.65, 2 Ac 3.65
8 Ho 0.5000 0.0000 0.5000  8 Ho 3.56-3.59, 4 Nd 3.57
9 Ho 0.5000 0.0000 0.8279  2 Nd 3.55, 8 Ho 3.56-3.65, 2 Ac 3.65
10 Ho 0.0000 0.5000 0.1721  2 Nd 3.55, 8 Ho 3.56-3.65, 2 Ac 3.65
11 Ho 0.0000 0.5000 0.5000  8 Ho 3.56-3.59, 4 Nd 3.57
12 Ho 0.0000 0.5000 0.8279  2 Nd 3.55, 8 Ho 3.56-3.65, 2 Ac 3.65

## Properties
- Fermi-level density of states: 17.35 states/eV/cell
- SG: P4/mmm
- E_form: 0.0370 eV/atom

=====

Computed, not measured: an optimized crystal structure of Ho6Er2TmSc at the PBE level of DFT.

abc: 9.3691 8.6028 8.6028
angles: 117.35 93.99 93.99
Closest atoms and distances in Å follow each position.
Sites, in units of the cell vectors:
1 Ho 0.0555 0.1259 0.7527  7 Ho 3.37-3.66, 1 Er 3.43, 1 Tm 3.57
2 Ho 0.4445 0.2473 0.8741  7 Ho 3.37-3.66, 1 Er 3.43, 1 Tm 3.57
3 Ho 0.9445 0.8741 0.2473  7 Ho 3.37-3.66, 1 Er 3.43, 1 Tm 3.57
4 Ho 0.5555 0.7527 0.1259  7 Ho 3.37-3.66, 1 Er 3.43, 1 Tm 3.57
5 Ho 0.3110 0.9914 0.4334  3 Ho 3.20-3.56, 1 Er 3.31, 1 Sc 3.34, 1 Tm 3.49
6 Ho 0.1890 0.5666 0.0086  3 Ho 3.20-3.56, 1 Er 3.31, 1 Sc 3.34, 1 Tm 3.49
7 Ho 0.6890 0.0086 0.5666  3 Ho 3.20-3.56, 1 Er 3.31, 1 Sc 3.34, 1 Tm 3.49
8 Ho 0.8110 0.4334 0.9914  3 Ho 3.20-3.56, 1 Er 3.31, 1 Sc 3.34, 1 Tm 3.49
9 Ho 0.1173 0.7075 0.4955  3 Er 3.16-3.35, 4 Ho 3.20-3.45, 2 Sc 3.28-3.45
10 Ho 0.3827 0.5045 0.2925  3 Er 3.16-3.35, 4 Ho 3.20-3.45, 2 Sc 3.28-3.45
11 Ho 0.8827 0.2925 0.5045  3 Er 3.16-3.35, 4 Ho 3.20-3.45, 2 Sc 3.28-3.45
12 Ho 0.6173 0.4955 0.7075  3 Er 3.16-3.35, 4 Ho 3.20-3.45, 2 Sc 3.28-3.45
13 Er 0.4536 0.8006 0.6975  5 Ho 3.16-3.43, 2 Tm 3.31-3.36, 1 Sc 3.41
14 Er 0.0464 0.3025 0.1994  5 Ho 3.16-3.43, 2 Tm 3.31-3.36, 1 Sc 3.41
15 Er 0.5464 0.1994 0.3025  5 Ho 3.16-3.43, 2 Tm 3.31-3.36, 1 Sc 3.41
16 Er 0.9536 0.6975 0.8006  5 Ho 3.16-3.43, 2 Tm 3.31-3.36, 1 Sc 3.41
17 Tm 0.2500 0.9781 0.0219  4 Er 3.31-3.36, 4 Ho 3.49-3.57
18 Tm 0.7500 0.0219 0.9781  4 Er 3.31-3.36, 4 Ho 3.49-3.57
19 Sc 0.2500 0.4122 0.5878  6 Ho 3.28-3.45, 2 Er 3.41
20 Sc 0.7500 0.5878 0.4122  6 Ho 3.28-3.45, 2 Er 3.41

## Properties
- Fermi-level density of states: 26.13 states/eV/cell
- SG: C2/c
- E_form: 0.1275 eV/atom

=====

Computed, not measured: an optimized crystal structure of KBa2Be at the PBE level of DFT.

abc: 7.8358 7.8358 7.8358
angles: 148.57 127.15 62.80
Closest atoms and distances in Å follow each position.
Sites, in units of the cell vectors:
1 Be 0.7500 0.2500 0.5000  4 Ba 3.23
2 K 0.2500 0.7500 0.5000  4 Be 4.08, 2 K 4.25, 4 Ba 4.25
3 Ba 0.9319 0.9319 0.0000  2 Be 3.23
4 Ba 0.5681 0.5681 0.0000  2 Be 3.23

## Properties
- Fermi-level density of states: 5.71 states/eV/cell
- SG: Immm
- E_form: 0.5098 eV/atom

=====

Computed, not measured: an optimized crystal structure of TiVMo2As at the PBE level of DFT.

abc: 4.4984 4.4984 4.6160
angles: 90.00 90.00 90.00
Closest atoms and distances in Å follow each position.
Sites, in units of the cell vectors:
1 Mo 0.0000 0.5000 0.0000  2 V 2.25
2 Mo 0.5000 0.0000 0.0000  2 V 2.25
3 Ti 0.0000 0.0000 0.5000  2 V 2.31
4 As 0.5000 0.5000 0.5000  4 Ti 3.18, 8 Mo 3.22
5 V 0.0000 0.0000 0.0000  4 Mo 2.25, 2 Ti 2.31

## Properties
- Fermi-level density of states: 5.15 states/eV/cell
- SG: P4/mmm
- E_form: 1.0193 eV/atom

=====

Computed, not measured: an optimized crystal structure of CaTlZn2 at the PBE level of DFT.

abc: 6.0276 6.0276 3.3461
angles: 75.89 75.89 116.39
Closest atoms and distances in Å follow each position.
Sites, in units of the cell vectors:
1 Tl 0.0000 0.5000 0.5000  4 Zn 3.07, 4 Ca 3.18-3.38, 2 Tl 3.35
2 Ca 0.5000 0.0000 0.5000  4 Zn 3.07, 4 Tl 3.18-3.38, 2 Ca 3.35
3 Zn 0.0000 0.0000 0.0000  2 Tl 3.07, 2 Ca 3.07, 6 Zn 3.18-3.38
4 Zn 0.5000 0.5000 0.0000  2 Ca 3.07, 2 Tl 3.07, 6 Zn 3.18-3.38

## Properties
- Fermi-level density of states: 2.37 states/eV/cell
- SG: C2/m
- E_form: 0.0315 eV/atom

=====

Computed, not measured: an optimized crystal structure of Ca2TaBN at the PBE level of DFT.

abc: 4.9581 4.2945 4.9581
angles: 90.00 90.00 90.00
Closest atoms and distances in Å follow each position.
Sites, in units of the cell vectors:
1 Ca 0.0000 0.0000 0.5000  2 B 2.48
2 Ca 0.5000 0.0000 0.0000  2 B 2.48
3 N 0.5000 0.5000 0.5000  8 Ca 3.28, 4 Ta 3.51
4 B 0.0000 0.0000 0.0000  2 Ta 2.15
5 Ta 0.0000 0.5000 0.0000  2 B 2.15

## Properties
- Fermi-level density of states: 3.68 states/eV/cell
- Formation energy from raw total energies: 1012.7 meV per atom
- SG: P4/mmm

=====

Computed, not measured: an optimized crystal structure of La3TiH at the PBE level of DFT.

abc: 5.0400 5.0400 5.0400
angles: 90.00 90.00 90.00
Closest atoms and distances in Å follow each position.
Sites, in units of the cell vectors:
1 H 0.0000 0.0000 0.0000  6 La 2.52
2 Ti 0.5000 0.5000 0.5000  12 La 3.56
3 La 0.0000 0.5000 0.0000  2 H 2.52
4 La 0.0000 0.0000 0.5000  2 H 2.52
5 La 0.5000 0.0000 0.0000  2 H 2.52

## Properties
- Fermi-level density of states: 8.73 states/eV/cell
- SG: Pm-3m
- Raw total energy: -25.7 eV per cell

=====

Computed, not measured: an optimized crystal structure of Pm4HoEr7 at the PBE level of DFT.

abc: 6.7967 6.5232 11.7758
angles: 75.15 49.80 81.52
Closest atoms and distances in Å follow each position.
Sites, in units of the cell vectors:
1 Pm 0.5253 0.6392 0.2849  8 Er 3.31-3.66, 1 Ho 3.38, 2 Pm 3.50-3.52
2 Pm 0.4747 0.3608 0.7151  8 Er 3.31-3.66, 1 Ho 3.38, 2 Pm 3.50-3.52
3 Pm 0.6897 0.8359 0.6934  7 Er 3.38-3.67, 2 Pm 3.50-3.52
4 Pm 0.3103 0.1641 0.3066  7 Er 3.38-3.67, 2 Pm 3.50-3.52
5 Ho 0.0000 0.0000 0.0000  2 Pm 3.38, 4 Er 3.40-3.46
6 Er 0.8021 0.5120 0.9505  5 Er 3.36-3.53, 4 Pm 3.37-3.67, 1 Ho 3.46
7 Er 0.1979 0.4880 0.0495  5 Er 3.36-3.53, 4 Pm 3.37-3.67, 1 Ho 3.46
8 Er 0.0569 0.3187 0.6423  5 Er 3.37-3.69, 4 Pm 3.45-3.52
9 Er 0.9431 0.6813 0.3577  5 Er 3.37-3.69, 4 Pm 3.45-3.52
10 Er 0.2766 0.8131 0.6167  5 Er 3.27-3.61, 4 Pm 3.31-3.55
11 Er 0.5000 0.0000 0.0000  4 Pm 3.38-3.66, 2 Ho 3.40, 4 Er 3.49-3.69
12 Er 0.7234 0.1869 0.3833  5 Er 3.27-3.61, 4 Pm 3.31-3.55

## Properties
- Fermi-level density of states: 19.03 states/eV/cell
- SG: P-1
- E_form: 0.0887 eV/atom

=====

Computed, not measured: an optimized crystal structure of SrZn2Mo at the PBE level of DFT.

abc: 4.9216 4.9216 4.9216
angles: 60.00 60.00 60.00
Closest atoms and distances in Å follow each position.
Sites, in units of the cell vectors:
1 Sr 0.0000 0.0000 0.0000  8 Zn 3.01
2 Mo 0.5000 0.5000 0.5000  8 Zn 3.01
3 Zn 0.2500 0.2500 0.2500  4 Mo 3.01, 4 Sr 3.01
4 Zn 0.7500 0.7500 0.7500  4 Sr 3.01, 4 Mo 3.01

## Properties
- Fermi-level density of states: 3.46 states/eV/cell
- SG: Fm-3m
- E_form: 0.5104 eV/atom